Entry from Alexandria: an optimized crystal structure of Sm6Te3SeS2 (PBE-GGA).

abc: 7.3076 7.3076 7.4963
angles: 99.34 99.34 120.06
Closest atoms and distances in Å follow each position.
Fractional positions:
Sm 0.9300 0.5844 0.7903  2 S 2.81, 1 Se 2.93
Sm 0.7229 0.7229 0.2063  2 S 2.81, 1 Se 2.92, 1 Te 3.13
Sm 0.0700 0.4156 0.2097  2 S 2.81, 1 Se 2.93
Sm 0.5844 0.9300 0.7903  2 S 2.81, 1 Se 2.93
Sm 0.2771 0.2771 0.7937  2 S 2.81, 1 Se 2.92, 1 Te 3.13
Sm 0.4156 0.0700 0.2097  2 S 2.81, 1 Se 2.93
Te 0.1628 0.8372 0.5000  6 Sm 3.15-3.23
Te 0.8372 0.1628 0.5000  6 Sm 3.15-3.23
Te 0.5000 0.5000 0.5000  6 Sm 3.13-3.22
Se 0.0000 0.0000 0.0000  6 Sm 2.92-2.93
S 0.3328 0.6672 0.0000  6 Sm 2.81
S 0.6672 0.3328 0.0000  6 Sm 2.81

**ΔE_f (raw)**: -20.24 eV per formula unit
**Uncorrected energy**: -69.72 eV/cell
**Crystal system**: monoclinic